# BaBi2Te2, optimized geometry, DFT PBE
data_BaBi2Te2
_space_group_name_H-M_alt 'P 1'
_space_group_IT_number 1
_space_group_name_Hall 'P 1'
_cell_length_a 9.4613
_cell_length_b 9.4613
_cell_length_c 9.4613
_cell_angle_alpha 152.10
_cell_angle_beta 152.10
_cell_angle_gamma 39.87
loop_
_atom_site_label
_atom_site_type_symbol
_atom_site_fract_x
_atom_site_fract_y
_atom_site_fract_z
Ba1 Ba 0.0000 0.0000 0.0000
Bi1 Bi 0.2500 0.7500 0.5000
Bi2 Bi 0.7500 0.2500 0.5000
Te1 Te 0.4039 0.4039 0.0000
Te2 Te 0.5961 0.5961 0.0000
# VASP energy ... -18.66 eV per cell
# Formation energy from raw total energies ... -0.54 eV per atom